CdTeOs | PBE | optimized geometry

The calculation puts the uncorrected formation energy at 0.731 eV per atom.

It has space group Fmm2 (No. 42), with a = 3.095 Å, b = 5.316 Å, c = 16.020 Å, α = 90.00°, β = 90.00° and γ = 90.00°. Symmetry generates all atoms from Cd at (0.000, 0.000, 0.000), Te at (0.000, 0.000, 0.281) and Os at (0.000, 0.000, 0.648).

CaP3I | PBE | optimized geometry

The calculation puts the uncorrected formation energy at 0.774 eV per atom.

It has space group Pm-3m (No. 221), with a = 5.140 Å, b = 5.140 Å, c = 5.140 Å, α = 90.00°, β = 90.00° and γ = 90.00°. Symmetry generates all atoms from Ca at (0.000, 0.000, 0.000), P at (0.000, 0.500, 0.500) and I at (0.500, 0.500, 0.500).

CaTa2NiBr | PBE | optimized geometry

The calculation puts the uncorrected formation energy at 0.672 eV per atom.

It has space group P4/mmm (No. 123), with a = 4.632 Å, b = 4.632 Å, c = 5.789 Å, α = 90.00°, β = 90.00° and γ = 90.00°. Symmetry generates all atoms from Ca at (0.000, 0.000, 0.000), Ta at (0.000, 0.500, 0.500), Ni at (0.000, 0.000, 0.500) and Br at (0.500, 0.500, 0.000).

YZr2Re | PBE | optimized geometry

The formation energy comes out at 125 meV per atom.

It has space group Fm-3m (No. 225), with a = 6.953 Å, b = 6.953 Å, c = 6.953 Å, α = 90.00°, β = 90.00° and γ = 90.00°. Symmetry generates all atoms from Y at (0.000, 0.000, 0.000), Zr at (0.250, 0.250, 0.250) and Re at (0.000, 0.000, 0.500).

Ce2Pr3ScTe6 | PBE | optimized geometry

The calculation puts the uncorrected formation energy at -1.351 eV per atom.

It has space group C2/m (No. 12), with a = 19.491 Å, b = 4.425 Å, c = 9.002 Å, α = 90.00°, β = 104.11° and γ = 90.00°. Symmetry generates all atoms from Ce at (0.166, 0.000, 0.335), Pr at (0.000, 0.500, 0.500), Pr at (0.171, 0.000, 0.836), Sc at (0.000, 0.500, 0.000), Te at (0.001, 0.000, 0.769), Te at (0.158, 0.500, 0.082) and Te at (0.167, 0.500, 0.583).

LiDyTl4 | PBE | optimized geometry

The formation energy comes out at -120 meV per atom.

It has space group C2/m (No. 12), with a = 12.563 Å, b = 3.677 Å, c = 7.327 Å, α = 90.00°, β = 109.88° and γ = 90.00°. Symmetry generates all atoms from Li at (0.000, 0.000, 0.000), Dy at (0.000, 0.000, 0.500), Tl at (0.159, 0.500, 0.848) and Tl at (0.164, 0.500, 0.325).

Pr3Si2Pd2 | PBE | optimized geometry

The calculation puts the uncorrected formation energy at -0.793 eV per atom.

It has space group Pbcm (No. 57), with a = 5.783 Å, b = 8.206 Å, c = 13.413 Å, α = 90.00°, β = 90.00° and γ = 90.00°. Symmetry generates all atoms from Pr at (0.128, 0.109, 0.104), Pr at (0.355, 0.749, 0.750), Si at (0.157, 0.100, 0.750), Si at (0.339, 0.750, 0.000) and Pd at (0.385, 0.041, 0.591).

Zr2TaV2 | PBE | optimized geometry

The formation energy comes out at 589 meV per atom.

It has space group P4/mbm (No. 127), with a = 7.956 Å, b = 7.956 Å, c = 3.006 Å, α = 90.00°, β = 90.00° and γ = 90.00°. Symmetry generates all atoms from Zr at (0.140, 0.360, 0.000), Ta at (0.000, 0.000, 0.000) and V at (0.165, 0.665, 0.500).

TaCu2Cl | PBE | optimized geometry

The calculation puts the uncorrected formation energy at 0.127 eV per atom.

It has space group R-3m (No. 166, hexagonal axes), with a = 3.0081 Å, b = 3.0081 Å, c = 24.1997 Å, α = 90.00°, β = 90.00° and γ = 120.00°. Symmetry generates all atoms from Ta at (0.0000, 0.0000, 0.0000), Cu at (0.0000, 0.0000, 0.2457) and Cl at (0.0000, 0.0000, 0.5000).

MnCoPt2Au | PBE | optimized geometry

The formation energy comes out at 1347 meV per atom.

It has space group P4/mmm (No. 123), with a = 5.001 Å, b = 5.001 Å, c = 4.545 Å, α = 90.00°, β = 90.00° and γ = 90.00°. Symmetry generates all atoms from Mn at (0.000, 0.000, 0.000), Co at (0.500, 0.500, 0.000), Pt at (0.000, 0.500, 0.500) and Au at (0.500, 0.500, 0.500).

LaPr2P3Rh12 | PBE | optimized geometry

The formation energy comes out at -296 meV per atom.

It has space group R-3m (No. 166, hexagonal axes), with a = 8.4918 Å, b = 8.4918 Å, c = 15.8107 Å, α = 90.00°, β = 90.00° and γ = 120.00°. Symmetry generates all atoms from La at (0.0000, 0.0000, 0.0000), Pr at (0.0000, 0.0000, 0.3985), P at (0.0000, 0.5000, 0.5000), Rh at (0.0241, 0.5121, 0.3598) and Rh at (0.0532, 0.5266, 0.8568).

TaAg2Br | PBE | optimized geometry

The calculation puts the uncorrected formation energy at 0.523 eV per atom.

It has space group Immm (No. 71), with a = 2.995 Å, b = 4.687 Å, c = 11.681 Å, α = 90.00°, β = 90.00° and γ = 90.00°. Symmetry generates all atoms from Ta at (0.000, 0.000, 0.000), Ag at (0.000, 0.500, 0.285) and Br at (0.000, 0.000, 0.500).

no.,DOS(E_F) (states/eV/f.u.),magnetization (μB/cell)
1,2.9,0.000
2,4.1,0.000
3,4.3,1.754
4,5.2,0.000
5,18.6,4.930
6,3.3,0.000
7,5.3,0.000
8,7.6,7.210
9,1.2,0.000
10,5.3,7.074
11,13.5,0.000
12,3.1,0.008